(1)
Sc4Ag5 after structural relaxation. Source: Alexandria, functional PBE.

Results
E_tot = -82.23 eV/cell
Space-group type = P6_3/mcm

extended XYZ file:
```
18
Lattice="-1.526 -7.750 2.872 6.223 -4.535 3.368 -1.271 2.236 5.360" Properties=species:S:1:pos:R:3 pbc="T T T"
Ag 3.489 -4.979 4.553
Ag -1.429 -0.740 4.916
Ag 2.496 -7.072 6.839
Ag 1.623 -0.855 2.390
Ag -0.062 -5.070 7.046
Ag 3.131 -8.190 4.159
Ag 1.566 -4.095 2.080
Ag 3.329 -1.443 6.337
Ag -1.368 -4.774 3.316
Ag 0.930 -2.977 4.760
Sc -1.939 -3.331 5.876
Sc 0.898 -6.053 4.387
Sc 1.248 0.073 5.211
Sc 3.704 -2.372 3.516
Sc -0.858 -2.183 2.356
Sc -0.635 1.118 2.680
Sc 0.000 0.000 0.000
Sc 2.529 -3.995 7.212
```


(2)
ScAg7 after structural relaxation. Source: Alexandria, functional PBE.

Results
E_tot = -26.45 eV/cell
Space-group type = Fm-3m

extended XYZ file:
```
8
Lattice="-0.170 -4.993 3.183 4.681 -1.595 3.261 -0.280 0.264 5.911" Properties=species:S:1:pos:R:3 pbc="T T T"
Ag -0.140 0.132 2.956
Ag 2.256 -3.294 3.222
Ag 2.341 -0.798 1.630
Ag -0.085 -2.497 1.591
Ag 2.201 -0.666 4.586
Ag 2.116 -3.162 6.178
Ag -0.225 -2.365 4.547
Sc 0.000 0.000 0.000
```


(3)
Sc7Ag3 after structural relaxation. Source: Alexandria, functional PBE.

Results
E_tot = -107.32 eV/cell
Space-group type = P6_3mc

extended XYZ file:
```
20
Lattice="-1.432 5.726 -2.980 -4.176 -4.431 -6.507 -4.522 2.625 7.217" Properties=species:S:1:pos:R:3 pbc="T T T"
Sc -5.154 3.263 1.086
Sc -2.906 4.585 -3.488
Sc -7.750 1.436 0.124
Sc -8.424 3.439 -3.038
Sc -2.943 2.066 2.907
Sc -6.399 1.348 3.189
Sc -2.232 2.582 -0.326
Sc -4.603 0.305 0.321
Sc -6.955 0.925 -4.694
Sc -4.323 -1.952 -1.999
Sc -5.295 2.686 -2.108
Sc -5.100 4.247 4.253
Sc -5.555 1.774 -7.616
Sc -3.498 1.643 -4.976
Ag -7.180 4.447 -0.614
Ag -4.053 5.096 -0.869
Ag -6.390 0.077 -2.054
Ag -5.679 6.040 1.726
Ag -4.765 -0.866 -4.648
Ag -3.263 0.727 -2.309
```